# Dy3GaSO (PBE, optimized geometry)
# Energy relative to the elements, uncorrected ... -174.4 kJ per mole of atoms
data_Dy3GaSO
_symmetry_space_group_name_H-M 'P 1'
_symmetry_Int_Tables_number 1
_symmetry_space_group_name_Hall 'P 1'
_cell_length_a 3.866
_cell_length_b 8.439
_cell_length_c 8.655
_cell_angle_alpha 102.22
_cell_angle_beta 90.00
_cell_angle_gamma 90.00
loop_
_atom_site_label
_atom_site_fract_x
_atom_site_fract_y
_atom_site_fract_z
Dy1 0.250 0.828 0.489
S1 0.750 0.350 0.841
Dy2 0.750 0.891 0.141
S2 0.250 0.650 0.159
Ga1 0.750 0.826 0.784
O1 0.750 0.906 0.403
Dy3 0.250 0.583 0.829
Dy4 0.750 0.417 0.171
O2 0.250 0.094 0.597
Ga2 0.250 0.174 0.216
Dy5 0.750 0.172 0.511
Dy6 0.250 0.109 0.859